Record 1
An optimized crystal structure of Ce2SmAu6, computed with PBE-GGA.

Calculated values
Total moment: 1.57 μB/f.u.
DOS(E_F): 14.7 states/eV/f.u.
VASP energy: -4.6681 eV per atom
Formation enthalpy at 0 K: -640 meV/atom

a = 8.5998 Å, b = 8.5998 Å, c = 8.5998 Å
α = 155.30°, β = 126.33°, γ = 59.94°
Fractional positions:
Ce1 0.1412 0.1412 0.0000
Ce2 0.8588 0.8588 0.0000
Sm1 0.5000 0.0000 0.5000
Au1 0.1396 0.3239 0.8158
Au2 0.1844 0.5000 0.6844
Au3 0.4919 0.6761 0.8158
Au4 0.5081 0.3239 0.1842
Au5 0.8156 0.5000 0.3156
Au6 0.8604 0.6761 0.1842

---

Record 2
An optimized crystal structure of SmY5, computed with PBE-GGA.

Calculated values
Total moment: 0.00 μB/f.u.
DOS(E_F): 8.1 states/eV/f.u.
VASP energy: -6.1516 eV per atom
Formation enthalpy at 0 K: 22 meV/atom

a = 3.5803 Å, b = 3.5803 Å, c = 15.1950 Å
α = 90.00°, β = 90.00°, γ = 90.00°
Fractional positions:
Sm1 0.0000 0.0000 0.0000
Y1 0.0000 0.0000 0.3342
Y2 0.0000 0.0000 0.6658
Y3 0.5000 0.5000 0.1677
Y4 0.5000 0.5000 0.5000
Y5 0.5000 0.5000 0.8323

---

Record 3
An optimized crystal structure of ZnSiHg2, computed with PBE-GGA.

Calculated values
Total moment: 0.00 μB/f.u.
DOS(E_F): 1.3 states/eV/f.u.
E_form (uncorrected): 0.24 eV/atom
VASP energy: -1.5873 eV per atom

a = 2.9167 Å, b = 3.9415 Å, c = 8.2276 Å
α = 90.00°, β = 90.00°, γ = 90.00°
Fractional positions:
Zn1 0.0000 0.0000 0.0000
Si1 0.5000 0.5000 0.0913
Hg1 0.0000 0.0000 0.6702
Hg2 0.5000 0.5000 0.4096

---

Record 4
An optimized crystal structure of ReOsN2O, computed with PBE-GGA.

Calculated values
Total moment: 3.13 μB/f.u.
DOS(E_F): 3.2 states/eV/f.u.
E_form (uncorrected): 1.10 eV/atom
VASP energy: -7.9599 eV per atom

a = 3.9509 Å, b = 3.9509 Å, c = 3.7975 Å
α = 90.00°, β = 90.00°, γ = 90.00°
Fractional positions:
Re1 0.0000 0.0000 0.0000
Os1 0.5000 0.5000 0.5000
N1 0.0000 0.5000 0.0000
N2 0.5000 0.0000 0.0000
O1 0.0000 0.0000 0.5000

---

Record 5
An optimized crystal structure of HfAl6Ga2, computed with PBE-GGA.

Calculated values
Total moment: 0.00 μB/f.u.
DOS(E_F): 2.7 states/eV/f.u.
VASP energy: -4.3946 eV per atom
Formation enthalpy at 0 K: -121 meV/atom

a = 5.2952 Å, b = 5.2952 Å, c = 8.6178 Å
α = 107.82°, β = 107.82°, γ = 42.76°
Fractional positions:
Hf1 0.0000 0.0000 0.0000
Al1 0.0174 0.0174 0.6696
Al2 0.3211 0.3211 0.1095
Al3 0.3377 0.3377 0.4434
Al4 0.6623 0.6623 0.5566
Al5 0.6789 0.6789 0.8905
Al6 0.9826 0.9826 0.3304
Ga1 0.3433 0.3433 0.7612
Ga2 0.6567 0.6567 0.2388

---

Record 6
An optimized crystal structure of ScMn2Ni, computed with PBE-GGA.

Calculated values
Total moment: 1.91 μB/f.u.
DOS(E_F): 3.0 states/eV/f.u.
VASP energy: -7.7090 eV per atom
Formation enthalpy at 0 K: -96 meV/atom

a = 3.0034 Å, b = 3.0149 Å, c = 6.2352 Å
α = 90.00°, β = 90.00°, γ = 90.00°
Fractional positions:
Sc1 0.0000 0.0000 0.0000
Mn1 0.0000 0.0000 0.5027
Mn2 0.5000 0.5000 0.2942
Ni1 0.5000 0.5000 0.7255

---

Record 7
An optimized crystal structure of Zr3Te3As, computed with PBE-GGA.

Calculated values
Total moment: 0.00 μB/f.u.
DOS(E_F): 3.5 states/eV/f.u.
E_form (uncorrected): -0.96 eV/atom
VASP energy: -6.6335 eV per atom

a = 8.1830 Å, b = 3.9848 Å, c = 11.2831 Å
α = 90.00°, β = 91.06°, γ = 90.00°
Fractional positions:
Zr1 0.1017 0.2500 0.1171
Zr2 0.1127 0.2500 0.6423
Zr3 0.3318 0.7500 0.8785
Zr4 0.6682 0.2500 0.1215
Zr5 0.8873 0.7500 0.3577
Zr6 0.8983 0.7500 0.8829
Te1 0.1527 0.2500 0.3782
Te2 0.3715 0.7500 0.6247
Te3 0.3846 0.7500 0.1380
Te4 0.6154 0.2500 0.8620
Te5 0.6285 0.2500 0.3753
Te6 0.8473 0.7500 0.6218
As1 0.1167 0.2500 0.8787
As2 0.8833 0.7500 0.1213

---

Record 8
An optimized crystal structure of RbCaErF6, computed with PBE-GGA.

Calculated values
Total moment: 0.10 μB/f.u.
DOS(E_F): 0.0 states/eV/f.u.
E_form (uncorrected): -3.74 eV/atom
VASP energy: -5.8243 eV per atom

a = 8.2601 Å, b = 8.2601 Å, c = 8.2601 Å
α = 121.38°, β = 119.74°, γ = 89.04°
Fractional positions:
Rb1 0.3119 0.0619 0.2500
Rb2 0.6881 0.9381 0.7500
Ca1 0.0000 0.0000 0.5000
Ca2 0.0000 0.5000 0.0000
Er1 0.0000 0.5000 0.5000
Er2 0.5000 0.5000 0.0000
F1 0.0634 0.4246 0.2509
F2 0.0634 0.8126 0.6388
F3 0.0801 0.8301 0.2500
F4 0.3077 0.5577 0.7500
F5 0.3262 0.1874 0.7509
F6 0.3262 0.5754 0.1388
F7 0.6738 0.4246 0.8612
F8 0.6738 0.8126 0.2491
F9 0.6923 0.4423 0.2500
F10 0.9199 0.1699 0.7500
F11 0.9366 0.1874 0.3612
F12 0.9366 0.5754 0.7491

---

Record 9
An optimized crystal structure of K2CuGeCl5, computed with PBE-GGA.

Calculated values
Total moment: 0.00 μB/f.u.
E_form (uncorrected): -1.24 eV/atom
VASP energy: -3.4744 eV per atom

a = 9.4126 Å, b = 9.4126 Å, c = 13.0254 Å
α = 90.00°, β = 90.00°, γ = 155.27°
Fractional positions:
K1 0.1125 0.8875 0.5000
K2 0.1249 0.8751 0.1118
K3 0.8751 0.1249 0.6118
K4 0.8875 0.1125 0.0000
Cu1 0.4693 0.5307 0.2694
Cu2 0.5307 0.4693 0.7694
Ge1 0.2087 0.7913 0.8148
Ge2 0.7913 0.2087 0.3148
Cl1 0.0401 0.9599 0.8496
Cl2 0.2879 0.7121 0.4560
Cl3 0.2967 0.7033 0.1739
Cl4 0.3416 0.6584 0.8095
Cl5 0.4970 0.5030 0.1002
Cl6 0.5030 0.4970 0.6002
Cl7 0.6584 0.3416 0.3095
Cl8 0.7033 0.2967 0.6739
Cl9 0.7121 0.2879 0.9560
Cl10 0.9599 0.0401 0.3496

---

Record 10
An optimized crystal structure of Sn3WI, computed with PBE-GGA.

Calculated values
Total moment: 4.79 μB/f.u.
DOS(E_F): 3.7 states/eV/f.u.
E_form (uncorrected): 1.95 eV/atom
VASP energy: -3.3508 eV per atom

a = 5.7497 Å, b = 5.7497 Å, c = 5.7497 Å
α = 90.00°, β = 90.00°, γ = 90.00°
Fractional positions:
Sn1 0.0000 0.0000 0.5000
Sn2 0.0000 0.5000 0.0000
Sn3 0.5000 0.0000 0.0000
W1 0.5000 0.5000 0.5000
I1 0.0000 0.0000 0.0000

---

Record 11
An optimized crystal structure of Zr2Ga3Os, computed with PBE-GGA.

Calculated values
Total moment: 0.00 μB/f.u.
DOS(E_F): 5.0 states/eV/f.u.
VASP energy: -6.3117 eV per atom
Formation enthalpy at 0 K: -77 meV/atom

a = 5.7802 Å, b = 5.7802 Å, c = 5.7802 Å
α = 134.13°, β = 124.46°, γ = 74.81°
Fractional positions:
Zr1 0.1810 0.1810 0.0000
Zr2 0.8190 0.8190 0.0000
Ga1 0.0000 0.5000 0.5000
Ga2 0.3563 0.8563 0.5000
Ga3 0.6437 0.1437 0.5000
Os1 0.5000 0.5000 0.0000

---

Record 12
An optimized crystal structure of BeCo3B, computed with PBE-GGA.

Calculated values
Total moment: 2.27 μB/f.u.
DOS(E_F): 5.0 states/eV/f.u.
VASP energy: -6.3450 eV per atom
Formation enthalpy at 0 K: -1 meV/atom

a = 5.2260 Å, b = 5.2260 Å, c = 4.0618 Å
α = 90.00°, β = 90.00°, γ = 120.00°
Fractional positions:
Be1 0.3333 0.6667 0.2500
Be2 0.6667 0.3333 0.7500
Co1 0.1837 0.3674 0.7500
Co2 0.1837 0.8163 0.7500
Co3 0.3674 0.1837 0.2500
Co4 0.6326 0.8163 0.7500
Co5 0.8163 0.1837 0.2500
Co6 0.8163 0.6326 0.2500
B1 0.0000 0.0000 0.0000
B2 0.0000 0.0000 0.5000